First-principles (PBE) data for a relaxed structure of Tb5MgAg4, as listed in Alexandria via LeMat-Bulk.

Density   8.4 g cm⁻³
DFT total energy   -38.8 eV per cell
Total magnetization   0.00 μB per atom

Cell lengths 3.6683, 3.6683, 18.4756 Å; angles 90.00, 90.00, 90.00 degrees
Positions (direct):
Tb 0.0000 0.0000 0.0000
Tb 0.0000 0.0000 0.1973
Tb 0.0000 0.0000 0.3939
Tb 0.0000 0.0000 0.6061
Tb 0.0000 0.0000 0.8027
Mg 0.5000 0.5000 0.5000
Ag 0.5000 0.5000 0.0982
Ag 0.5000 0.5000 0.2980
Ag 0.5000 0.5000 0.7020
Ag 0.5000 0.5000 0.9018